[1]
Entry from Alexandria via LeMat-Bulk: a geometry-optimized BaPrIn structure (GGA-PBE).

The calculated formation energy is -0.218 eV per atom. The relative energy among the computed polymorphs is 95 meV per atom. The crystal system is tetragonal.

```
data_BaPrIn
_symmetry_space_group_name_H-M 'P 1'
_symmetry_Int_Tables_number 1
_cell_length_a 4.113
_cell_length_b 4.113
_cell_length_c 7.600
_cell_angle_alpha 105.70
_cell_angle_beta 105.70
_cell_angle_gamma 90.00
loop_
_symmetry_equiv_pos_as_xyz
'x,y,z'
loop_
_atom_site_label
_atom_site_fract_x
_atom_site_fract_y
_atom_site_fract_z
_atom_site_occupancy
Ba1 0.019 0.019 0.039 1
Pr1 0.295 0.295 0.589 1
In1 0.686 0.686 0.372 1
```

[2]
Entry from Alexandria via LeMat-Bulk: a geometry-optimized BaPrIn structure (GGA-PBE).

The calculated formation energy is -0.157 eV per atom. The relative energy among the computed polymorphs is 156 meV per atom. The crystal system is trigonal.

```
data_BaPrIn
_symmetry_space_group_name_H-M 'P 1'
_symmetry_Int_Tables_number 1
_cell_length_a 3.956
_cell_length_b 5.653
_cell_length_c 5.653
_cell_angle_alpha 120.00
_cell_angle_beta 90.00
_cell_angle_gamma 90.00
loop_
_symmetry_equiv_pos_as_xyz
'x,y,z'
loop_
_atom_site_label
_atom_site_fract_x
_atom_site_fract_y
_atom_site_fract_z
_atom_site_occupancy
Pr1 0.407 0.333 0.667 1
In1 0.593 0.667 0.333 1
Ba1 0.001 0.000 0.000 1
```

[3]
Entry from Alexandria via LeMat-Bulk: a geometry-optimized BaPrIn2 structure (GGA-PBE).

The calculated formation energy is -0.437 eV per atom. The crystal system is tetragonal.

```
data_BaPrIn2
_symmetry_space_group_name_H-M 'P 1'
_symmetry_Int_Tables_number 1
_cell_length_a 4.072
_cell_length_b 4.072
_cell_length_c 8.251
_cell_angle_alpha 90.00
_cell_angle_beta 90.00
_cell_angle_gamma 90.00
loop_
_symmetry_equiv_pos_as_xyz
'x,y,z'
loop_
_atom_site_label
_atom_site_fract_x
_atom_site_fract_y
_atom_site_fract_z
_atom_site_occupancy
In1 0.000 0.000 0.787 1
Ba1 0.500 0.500 0.500 1
Pr1 0.500 0.500 0.000 1
In2 0.000 0.000 0.213 1
```

[4]
Entry from Alexandria via LeMat-Bulk: a geometry-optimized BaPr2In structure (GGA-PBE).

The calculated formation energy is -0.110 eV per atom. The relative energy among the computed polymorphs is 20 meV per atom. The crystal system is tetragonal.

```
data_BaPr2In
_symmetry_space_group_name_H-M 'P 1'
_symmetry_Int_Tables_number 1
_cell_length_a 5.127
_cell_length_b 5.228
_cell_length_c 5.228
_cell_angle_alpha 90.00
_cell_angle_beta 90.00
_cell_angle_gamma 90.00
loop_
_symmetry_equiv_pos_as_xyz
'x,y,z'
loop_
_atom_site_label
_atom_site_fract_x
_atom_site_fract_y
_atom_site_fract_z
_atom_site_occupancy
Pr1 0.000 0.000 0.500 1
In1 0.500 0.000 0.000 1
Ba1 0.500 0.500 0.500 1
Pr2 0.000 0.500 0.000 1
```

[5]
Entry from Alexandria via LeMat-Bulk: a geometry-optimized BaPrIn6 structure (GGA-PBE).

The calculated formation energy is -0.345 eV per atom. The crystal system is orthorhombic.

```
data_BaPrIn6
_symmetry_space_group_name_H-M 'P 1'
_symmetry_Int_Tables_number 1
_cell_length_a 5.044
_cell_length_b 6.658
_cell_length_c 7.015
_cell_angle_alpha 90.00
_cell_angle_beta 90.00
_cell_angle_gamma 90.00
loop_
_symmetry_equiv_pos_as_xyz
'x,y,z'
loop_
_atom_site_label
_atom_site_fract_x
_atom_site_fract_y
_atom_site_fract_z
_atom_site_occupancy
In1 0.500 0.863 0.270 1
Pr1 0.500 0.383 0.500 1
Ba1 0.000 0.626 0.000 1
In2 0.000 0.717 0.500 1
In3 0.000 0.151 0.272 1
In4 0.000 0.151 0.728 1
In5 0.500 0.863 0.730 1
In6 0.500 0.245 0.000 1
```

[6]
Entry from Alexandria via LeMat-Bulk: a geometry-optimized BaPrIn structure (GGA-PBE).

The calculated formation energy is -0.313 eV per atom. The relative energy among the computed polymorphs is 0 meV per atom. The crystal system is tetragonal.

```
data_BaPrIn
_symmetry_space_group_name_H-M 'P 1'
_symmetry_Int_Tables_number 1
_cell_length_a 5.323
_cell_length_b 5.323
_cell_length_c 8.550
_cell_angle_alpha 90.00
_cell_angle_beta 90.00
_cell_angle_gamma 90.00
loop_
_symmetry_equiv_pos_as_xyz
'x,y,z'
loop_
_atom_site_label
_atom_site_fract_x
_atom_site_fract_y
_atom_site_fract_z
_atom_site_occupancy
Ba1 0.000 0.500 0.860 1
Pr1 0.000 0.000 0.500 1
In1 0.500 0.000 0.727 1
Pr2 0.500 0.500 0.500 1
Ba2 0.500 0.000 0.140 1
In2 0.000 0.500 0.273 1
```